1.
CaTb2Pr6 PBE optimized geometry; SG = No. 162; calculated total energy = -3.96 eV per atom; crystal system = trigonal; energy relative to the elements = 4.34 eV per formula unit
1.0
6.1303 0.0000 0.0000
-3.0651 5.3090 0.0000
0.0000 0.0000 11.7840
Pr Tb Ca
6 2 1
direct
0.6681 0.0000 0.7422
0.3319 0.0000 0.2578
0.0000 0.3319 0.2578
0.3319 0.3319 0.7422
0.6681 0.6681 0.2578
0.0000 0.6681 0.7422
0.3333 0.6667 0.5000
0.6667 0.3333 0.5000
0.0000 0.0000 0.0000


2.
Th2AlCo9 PBE optimized geometry; SG = No. 166; calculated total energy = -6.93 eV per atom; crystal system = trigonal; energy relative to the elements = -0.67 eV per formula unit
1.0
4.8471 0.0000 0.0000
2.4236 4.1977 0.0000
2.4236 1.3992 8.4194
Co Th Al
9 2 1
direct
0.4229 0.4229 0.2337
0.6670 0.6670 0.9991
0.5000 0.5000 0.5000
0.5771 0.0795 0.7663
0.9205 0.4229 0.2337
0.4229 0.9205 0.2337
0.0795 0.5771 0.7663
0.5771 0.5771 0.7663
0.3330 0.3330 0.0009
0.1337 0.1337 0.5989
0.8663 0.8663 0.4011
0.0000 0.0000 0.0000


The lowest calculated total energy belongs to which entry? Th2AlCo9


Which of these has the highest calculated total energy? CaTb2Pr6